{"formula": "LaSn3I", "functional": "PBEsol", "state": "relaxed", "lattice_angstrom": [[5.660, 0.000, 0.000], [0.000, 5.660, 0.000], [0.000, 0.000, 5.660]], "species": ["La", "Sn", "Sn", "Sn", "I"], "frac_coords": [[0.000, 0.000, 0.000], [0.000, 0.500, 0.500], [0.500, 0.000, 0.500], [0.500, 0.500, 0.000], [0.500, 0.500, 0.500]], "energy_ev_per_atom": -3.530, "density_g_cm3": 5.7, "total_magnetization_mub_per_fu": 0.002, "crystal_system": "cubic", "sg": "Pm-3m (221)"}

{"formula": "Sc3Si4Ni4", "functional": "PBEsol", "state": "relaxed", "lattice_angstrom": [[-1.659, 1.964, 11.887], [1.659, -1.964, 11.887], [1.659, 1.964, -11.887]], "species": ["Sc", "Sc", "Sc", "Si", "Si", "Si", "Si", "Ni", "Ni", "Ni", "Ni"], "frac_coords": [[0.000, 0.000, 0.000], [0.354, 0.854, 0.500], [0.646, 0.146, 0.500], [0.191, 0.691, 0.500], [0.450, 0.450, 0.000], [0.550, 0.550, 0.000], [0.809, 0.309, 0.500], [0.096, 0.596, 0.500], [0.255, 0.255, 0.000], [0.745, 0.745, 0.000], [0.904, 0.404, 0.500]], "energy_ev_per_atom": -6.976, "density_g_cm3": 5.2, "total_magnetization_mub_per_fu": 0.001, "crystal_system": "orthorhombic", "sg": "Immm (71)"}

{"formula": "LaAg2Pd2", "functional": "PBEsol", "state": "relaxed", "lattice_angstrom": [[-1.982, 1.982, 6.333], [1.982, -1.982, 6.333], [1.982, 1.982, -6.333]], "species": ["La", "Ag", "Ag", "Pd", "Pd"], "frac_coords": [[0.000, 0.000, 0.000], [0.250, 0.750, 0.500], [0.750, 0.250, 0.500], [0.398, 0.398, 0.000], [0.602, 0.602, 0.000]], "formation_enthalpy_0k_ev_per_fu": -2.0, "density_g_cm3": 9.5, "total_magnetization_mub_per_fu": 0.000, "crystal_system": "tetragonal", "sg": "I4/mmm (139)"}

{"formula": "LiScAu", "functional": "PBEsol", "state": "relaxed", "lattice_angstrom": [[0.000, 3.004, 3.004], [3.004, 0.000, 3.004], [3.004, 3.004, 0.000]], "species": ["Li", "Sc", "Au"], "frac_coords": [[0.000, 0.000, 0.000], [0.250, 0.250, 0.250], [0.750, 0.750, 0.750]], "formation_enthalpy_0k_ev_per_fu": -0.4, "polymorph_energy_ev_per_atom": 0.405, "density_g_cm3": 7.6, "total_magnetization_mub_per_fu": 0.002, "crystal_system": "cubic", "sg": "F-43m (216)"}

{"formula": "TcRuPt", "functional": "PBEsol", "state": "relaxed", "lattice_angstrom": [[2.703, 0.000, 0.000], [-1.352, 2.341, 0.000], [0.000, 0.000, 6.678]], "species": ["Tc", "Ru", "Pt"], "frac_coords": [[0.000, 0.000, 0.000], [0.667, 0.333, 0.306], [0.333, 0.667, 0.655]], "formation_enthalpy_0k_ev_per_fu": -0.2, "polymorph_energy_ev_per_atom": 0.035, "density_g_cm3": 15.5, "total_magnetization_mub_per_fu": 0.000, "crystal_system": "trigonal", "sg": "P3m1 (156)"}

{"formula": "Tc5Os", "functional": "PBEsol", "state": "relaxed", "lattice_angstrom": [[4.342, 0.000, 0.000], [0.000, 1.359, 7.091], [0.000, -1.359, 7.091]], "species": ["Tc", "Tc", "Tc", "Tc", "Tc", "Os"], "frac_coords": [[0.000, 0.000, 0.000], [0.000, 0.332, 0.332], [0.500, 0.222, 0.222], [0.500, 0.555, 0.555], [0.500, 0.889, 0.889], [0.000, 0.666, 0.666]], "formation_enthalpy_0k_ev_per_fu": -0.2, "polymorph_energy_ev_per_atom": 0.004, "density_g_cm3": 13.5, "total_magnetization_mub_per_fu": 0.001, "crystal_system": "orthorhombic", "sg": "Amm2 (38)"}

{"formula": "SrCrH3", "functional": "PBEsol", "state": "relaxed", "lattice_angstrom": [[3.822, 0.000, 0.000], [0.000, 3.822, 0.000], [0.000, 0.000, 3.822]], "species": ["Sr", "Cr", "H", "H", "H"], "frac_coords": [[0.000, 0.000, 0.000], [0.500, 0.500, 0.500], [0.000, 0.500, 0.500], [0.500, 0.000, 0.500], [0.500, 0.500, 0.000]], "energy_ev_per_atom": -4.566, "density_g_cm3": 4.2, "total_magnetization_mub_per_fu": 3.810, "crystal_system": "cubic", "sg": "Pm-3m (221)"}

{"formula": "LiMn2OF3", "functional": "PBEsol", "state": "relaxed", "lattice_angstrom": [[3.084, 1.781, 5.170], [-3.084, 1.781, 5.170], [0.000, -3.562, 5.170]], "species": ["Li", "Li", "Mn", "Mn", "Mn", "Mn", "O", "O", "F", "F", "F", "F", "F", "F"], "frac_coords": [[0.148, 0.148, 0.148], [0.852, 0.852, 0.852], [0.000, 0.500, 0.500], [0.500, 0.000, 0.500], [0.500, 0.500, 0.000], [0.500, 0.500, 0.500], [0.277, 0.277, 0.277], [0.723, 0.723, 0.723], [0.241, 0.741, 0.741], [0.259, 0.259, 0.759], [0.259, 0.759, 0.259], [0.741, 0.241, 0.741], [0.741, 0.741, 0.241], [0.759, 0.259, 0.259]], "polymorph_energy_ev_per_atom": 0.052, "density_g_cm3": 3.7, "total_magnetization_mub_per_fu": 10.000, "crystal_system": "trigonal", "sg": "R-3m (166)"}

{"formula": "Cu3Ni", "functional": "PBEsol", "state": "relaxed", "lattice_angstrom": [[4.134, -1.249, 0.000], [4.134, 1.249, 0.000], [-0.766, 0.000, 4.253]], "species": ["Cu", "Cu", "Cu", "Ni"], "frac_coords": [[0.000, 0.000, 0.000], [0.249, 0.249, 0.748], [0.751, 0.751, 0.252], [0.500, 0.500, 0.500]], "formation_enthalpy_0k_ev_per_fu": 0.0, "density_g_cm3": 9.4, "total_magnetization_mub_per_fu": 0.000, "crystal_system": "monoclinic", "sg": "C2/m (12)"}

{"formula": "Tl3Ag3As2S6", "functional": "PBEsol", "state": "relaxed", "lattice_angstrom": [[10.811, 0.000, 0.000], [0.000, 11.715, 0.000], [-5.827, 0.000, 10.159]], "species": ["Tl", "Tl", "Tl", "Tl", "Tl", "Tl", "Tl", "Tl", "Tl", "Tl", "Tl", "Tl", "Ag", "Ag", "Ag", "Ag", "Ag", "Ag", "Ag", "Ag", "Ag", "Ag", "Ag", "Ag", "As", "As", "As", "As", "As", "As", "As", "As", "S", "S", "S", "S", "S", "S", "S", "S", "S", "S", "S", "S", "S", "S", "S", "S", "S", "S", "S", "S", "S", "S", "S", "S"], "frac_coords": [[0.155, 0.246, 0.225], [0.155, 0.254, 0.725], [0.205, 0.513, 0.982], [0.205, 0.987, 0.482], [0.209, 0.611, 0.614], [0.209, 0.889, 0.114], [0.791, 0.111, 0.886], [0.791, 0.389, 0.386], [0.795, 0.013, 0.518], [0.795, 0.487, 0.018], [0.845, 0.746, 0.275], [0.845, 0.754, 0.775], [0.121, 0.160, 0.933], [0.121, 0.340, 0.433], [0.459, 0.629, 0.549], [0.459, 0.871, 0.049], [0.464, 0.643, 0.925], [0.464, 0.857, 0.425], [0.536, 0.143, 0.575], [0.536, 0.357, 0.075], [0.541, 0.129, 0.951], [0.541, 0.371, 0.451], [0.879, 0.660, 0.567], [0.879, 0.840, 0.067], [0.165, 0.593, 0.256], [0.165, 0.907, 0.756], [0.498, 0.644, 0.255], [0.498, 0.856, 0.755], [0.502, 0.144, 0.245], [0.502, 0.356, 0.745], [0.835, 0.093, 0.244], [0.835, 0.407, 0.744], [0.004, 0.524, 0.311], [0.004, 0.976, 0.811], [0.006, 0.673, 0.056], [0.006, 0.827, 0.556], [0.247, 0.748, 0.390], [0.247, 0.752, 0.890], [0.367, 0.082, 0.034], [0.367, 0.418, 0.534], [0.381, 0.072, 0.342], [0.381, 0.428, 0.842], [0.420, 0.175, 0.712], [0.420, 0.325, 0.212], [0.580, 0.675, 0.788], [0.580, 0.825, 0.288], [0.619, 0.572, 0.158], [0.619, 0.928, 0.658], [0.633, 0.582, 0.466], [0.633, 0.918, 0.966], [0.753, 0.248, 0.110], [0.753, 0.252, 0.610], [0.994, 0.173, 0.444], [0.994, 0.327, 0.944], [0.996, 0.024, 0.189], [0.996, 0.476, 0.689]], "energy_ev_per_atom": -4.091, "density_g_cm3": 6.6, "total_magnetization_mub_per_fu": 0.000, "crystal_system": "monoclinic", "sg": "P2_1/c (14)"}

{"formula": "LaTeMo4", "functional": "PBEsol", "state": "relaxed", "lattice_angstrom": [[0.000, 3.850, 3.850], [3.850, 0.000, 3.850], [3.850, 3.850, 0.000]], "species": ["La", "Te", "Mo", "Mo", "Mo", "Mo"], "frac_coords": [[0.000, 0.000, 0.000], [0.750, 0.750, 0.750], [0.377, 0.377, 0.377], [0.377, 0.377, 0.870], [0.377, 0.870, 0.377], [0.870, 0.377, 0.377]], "energy_ev_per_atom": -8.893, "density_g_cm3": 9.5, "total_magnetization_mub_per_fu": 0.000, "crystal_system": "cubic", "sg": "F-43m (216)"}

{"formula": "MnNbSbI2", "functional": "PBEsol", "state": "relaxed", "lattice_angstrom": [[5.223, 0.000, 0.000], [0.000, 5.223, 0.000], [0.000, 0.000, 5.112]], "species": ["Mn", "Nb", "Sb", "I", "I"], "frac_coords": [[0.000, 0.000, 0.000], [0.500, 0.500, 0.500], [0.000, 0.000, 0.500], [0.000, 0.500, 0.000], [0.500, 0.000, 0.000]], "energy_ev_per_atom": -4.756, "density_g_cm3": 6.2, "total_magnetization_mub_per_fu": 6.722, "crystal_system": "tetragonal", "sg": "P4/mmm (123)"}

{"formula": "MgPBr2", "functional": "PBEsol", "state": "relaxed", "lattice_angstrom": [[3.396, 0.000, 0.000], [0.000, 4.278, 0.000], [0.000, 0.000, 5.916]], "species": ["Mg", "P", "Br", "Br"], "frac_coords": [[0.000, 0.000, 0.000], [0.500, 0.000, 0.500], [0.000, 0.500, 0.500], [0.500, 0.500, 0.000]], "polymorph_energy_ev_per_atom": 0.263, "density_g_cm3": 4.2, "total_magnetization_mub_per_fu": 0.000, "crystal_system": "orthorhombic", "sg": "Pmmm (47)"}

{"formula": "FeCoSeBr2", "functional": "PBEsol", "state": "relaxed", "lattice_angstrom": [[4.800, 0.000, 0.000], [0.000, 4.800, 0.000], [0.000, 0.000, 4.531]], "species": ["Fe", "Co", "Se", "Br", "Br"], "frac_coords": [[0.000, 0.000, 0.000], [0.500, 0.500, 0.500], [0.500, 0.500, 0.000], [0.000, 0.500, 0.500], [0.500, 0.000, 0.500]], "energy_ev_per_atom": -4.250, "density_g_cm3": 5.6, "total_magnetization_mub_per_fu": 4.275, "crystal_system": "tetragonal", "sg": "P4/mmm (123)"}

{"formula": "K2CaYN", "functional": "PBEsol", "state": "relaxed", "lattice_angstrom": [[7.337, 0.000, 0.000], [0.000, 7.337, 0.000], [0.000, 0.000, 6.350]], "species": ["K", "K", "Ca", "Y", "N"], "frac_coords": [[0.000, 0.500, 0.000], [0.500, 0.000, 0.000], [0.000, 0.000, 0.000], [0.000, 0.000, 0.500], [0.500, 0.500, 0.500]], "energy_ev_per_atom": -2.099, "density_g_cm3": 1.1, "total_magnetization_mub_per_fu": 4.867, "crystal_system": "tetragonal", "sg": "P4/mmm (123)"}

{"formula": "Tl2SiPb", "functional": "PBEsol", "state": "relaxed", "lattice_angstrom": [[3.216, -5.308, 0.000], [3.216, 5.308, 0.000], [-1.259, 0.000, 2.997]], "species": ["Tl", "Tl", "Si", "Pb"], "frac_coords": [[0.000, 0.500, 0.000], [0.500, 0.000, 0.000], [0.000, 0.000, 0.500], [0.500, 0.500, 0.500]], "polymorph_energy_ev_per_atom": 0.078, "density_g_cm3": 10.5, "total_magnetization_mub_per_fu": 0.000, "crystal_system": "monoclinic", "sg": "C2/m (12)"}

{"formula": "Ba2YMn3O7", "functional": "PBEsol", "state": "relaxed", "lattice_angstrom": [[3.860, -3.908, 0.000], [3.860, 3.908, 0.000], [0.000, 0.000, 11.475]], "species": ["Ba", "Ba", "Ba", "Ba", "Y", "Y", "Mn", "Mn", "Mn", "Mn", "Mn", "Mn", "O", "O", "O", "O", "O", "O", "O", "O", "O", "O", "O", "O", "O", "O"], "frac_coords": [[0.000, 0.500, 0.175], [0.000, 0.500, 0.825], [0.500, 0.000, 0.175], [0.500, 0.000, 0.825], [0.000, 0.500, 0.500], [0.500, 0.000, 0.500], [0.000, 0.000, 0.000], [0.000, 0.000, 0.338], [0.000, 0.000, 0.662], [0.500, 0.500, 0.000], [0.500, 0.500, 0.350], [0.500, 0.500, 0.650], [0.000, 0.000, 0.165], [0.000, 0.000, 0.835], [0.250, 0.750, 0.000], [0.256, 0.256, 0.378], [0.256, 0.256, 0.622], [0.258, 0.742, 0.377], [0.258, 0.742, 0.623], [0.500, 0.500, 0.168], [0.500, 0.500, 0.832], [0.742, 0.258, 0.377], [0.742, 0.258, 0.623], [0.744, 0.744, 0.378], [0.744, 0.744, 0.622], [0.750, 0.250, 0.000]], "polymorph_energy_ev_per_atom": 0.000, "density_g_cm3": 6.1, "total_magnetization_mub_per_fu": 2.506, "crystal_system": "orthorhombic", "sg": "Cmmm (65)"}

{"formula": "Ga3Cu3Te4Se2", "functional": "PBEsol", "state": "relaxed", "lattice_angstrom": [[17.697, -2.928, 0.000], [17.697, 2.928, 0.000], [-0.940, 0.000, 5.767]], "species": ["Ga", "Ga", "Ga", "Ga", "Ga", "Ga", "Cu", "Cu", "Cu", "Cu", "Cu", "Cu", "Te", "Te", "Te", "Te", "Te", "Te", "Te", "Te", "Se", "Se", "Se", "Se"], "frac_coords": [[0.038, 0.038, 0.289], [0.302, 0.285, 0.031], [0.378, 0.373, 0.634], [0.627, 0.622, 0.366], [0.715, 0.698, 0.969], [0.962, 0.962, 0.711], [0.109, 0.142, 0.886], [0.185, 0.227, 0.441], [0.461, 0.466, 0.214], [0.534, 0.539, 0.786], [0.773, 0.815, 0.559], [0.858, 0.891, 0.114], [0.066, 0.602, 0.334], [0.167, 0.671, 0.939], [0.329, 0.833, 0.061], [0.398, 0.934, 0.666], [0.495, 0.005, 0.267], [0.664, 0.173, 0.405], [0.827, 0.336, 0.595], [0.995, 0.505, 0.733], [0.253, 0.747, 0.500], [0.588, 0.082, 0.835], [0.746, 0.254, 0.000], [0.918, 0.412, 0.165]], "energy_ev_per_atom": -4.032, "density_g_cm3": 5.9, "total_magnetization_mub_per_fu": 0.000, "crystal_system": "monoclinic", "sg": "C2 (5)"}

{"formula": "YAlIr2", "functional": "PBEsol", "state": "relaxed", "lattice_angstrom": [[1.478, 0.853, 8.634], [-1.478, 0.853, 8.634], [0.000, -1.706, 8.634]], "species": ["Y", "Al", "Ir", "Ir"], "frac_coords": [[0.000, 0.000, 0.000], [0.500, 0.500, 0.500], [0.241, 0.241, 0.241], [0.759, 0.759, 0.759]], "formation_enthalpy_0k_ev_per_fu": -1.0, "density_g_cm3": 12.7, "total_magnetization_mub_per_fu": 0.000, "crystal_system": "trigonal", "sg": "R-3m (166)"}

{"formula": "ZnSiSe2N", "functional": "PBEsol", "state": "relaxed", "lattice_angstrom": [[5.063, 0.000, 0.000], [0.000, 5.063, 0.000], [0.000, 0.000, 3.256]], "species": ["Zn", "Si", "Se", "Se", "N"], "frac_coords": [[0.000, 0.000, 0.000], [0.500, 0.500, 0.500], [0.000, 0.500, 0.500], [0.500, 0.000, 0.500], [0.500, 0.500, 0.000]], "energy_ev_per_atom": -4.565, "density_g_cm3": 5.3, "total_magnetization_mub_per_fu": 0.000, "crystal_system": "tetragonal", "sg": "P4/mmm (123)"}

{"formula": "W2AuBr", "functional": "PBEsol", "state": "relaxed", "lattice_angstrom": [[3.098, 0.000, 0.000], [0.000, 3.098, 0.000], [0.000, 0.000, 6.637]], "species": ["W", "W", "Au", "Br"], "frac_coords": [[0.000, 0.000, 0.246], [0.000, 0.000, 0.754], [0.500, 0.500, 0.500], [0.500, 0.500, 0.000]], "polymorph_energy_ev_per_atom": 0.000, "density_g_cm3": 16.8, "total_magnetization_mub_per_fu": 0.000, "crystal_system": "tetragonal", "sg": "P4/mmm (123)"}

{"formula": "H2PbI", "functional": "PBEsol", "state": "relaxed", "lattice_angstrom": [[0.000, 3.255, 3.255], [3.255, 0.000, 3.255], [3.255, 3.255, 0.000]], "species": ["H", "H", "Pb", "I"], "frac_coords": [[0.250, 0.250, 0.250], [0.750, 0.750, 0.750], [0.000, 0.000, 0.000], [0.500, 0.500, 0.500]], "energy_ev_per_atom": -2.461, "density_g_cm3": 8.1, "total_magnetization_mub_per_fu": 0.002, "crystal_system": "cubic", "sg": "Fm-3m (225)"}

{"formula": "InIr2Pt", "functional": "PBEsol", "state": "relaxed", "lattice_angstrom": [[-1.396, 2.364, 4.776], [1.396, -2.364, 4.776], [1.396, 2.364, -4.776]], "species": ["In", "Ir", "Ir", "Pt"], "frac_coords": [[0.000, 0.000, 0.000], [0.257, 0.757, 0.500], [0.490, 0.490, 0.000], [0.740, 0.240, 0.500]], "formation_enthalpy_0k_ev_per_fu": 0.6, "density_g_cm3": 18.3, "total_magnetization_mub_per_fu": 0.000, "crystal_system": "orthorhombic", "sg": "Imm2 (44)"}